[1]
Below is CaSc2W after structural relaxation, with properties calculated at the GGA-PBE level.

Magnetic moment in μB per cell: 0.000
DOS at the Fermi energy in states/eV per atom: 1.18
DFT formation energy in eV per formula unit: 1.809
Excess energy over the best structure of this formula in the dataset in meV/atom: 172
Final energy in eV/atom: -6.452

Cell: 3.620 3.620 7.589 Å, 90.00 90.00 90.00°
Atoms (fractional coordinates):
1 Sc 0.000 0.000 0.063
2 Sc 0.500 0.500 0.296
3 Ca 0.500 0.500 0.708
4 W 0.000 0.000 0.434


[2]
Below is CaSc2W after structural relaxation, with properties calculated at the GGA-PBE level.

Magnetic moment in μB per cell: 0.000
DOS at the Fermi energy in states/eV per atom: 1.80
DFT formation energy in eV per formula unit: 2.051
Excess energy over the best structure of this formula in the dataset in meV/atom: 233
Final energy in eV/atom: -6.392

Cell: 4.985 4.985 4.985 Å, 60.00 60.00 60.00°
Atoms (fractional coordinates):
1 Sc 0.250 0.250 0.250
2 Sc 0.750 0.750 0.750
3 Ca 0.000 0.000 0.000
4 W 0.500 0.500 0.500


What did the second record say?
Below is CaSc2W after structural relaxation, with properties calculated at the GGA-PBE level.

Magnetic moment in μB per cell: 0.000
DOS at the Fermi energy in states/eV per atom: 1.80
DFT formation energy in eV per formula unit: 2.051
Excess energy over the best structure of this formula in the dataset in meV/atom: 233
Final energy in eV/atom: -6.392

Cell: 4.985 4.985 4.985 Å, 60.00 60.00 60.00°
Atoms (fractional coordinates):
1 Sc 0.250 0.250 0.250
2 Sc 0.750 0.750 0.750
3 Ca 0.000 0.000 0.000
4 W 0.500 0.500 0.500


- Look up the DFT formation energy of the first one.
  1.809 eV per formula unit